Compound: Li7Mn2Co3O12
Source: Alexandria via LeMat-Bulk
Functional: GGA+U
Structure: optimized geometry Values from VASP.

```
&SYSTEM
  ibrav = 0, nat = 24, ntyp = 4
/
ATOMIC_SPECIES
O 16.00 O.upf
Li 6.94 Li.upf
Co 58.93 Co.upf
Mn 54.94 Mn.upf
ATOMIC_POSITIONS crystal
O 0.639 0.268 0.453
O 0.861 0.205 0.073
O 0.133 0.110 0.604
O 0.654 0.950 0.783
O 0.867 0.570 0.705
O 0.393 0.379 0.878
O 0.867 0.890 0.396
O 0.361 0.732 0.547
O 0.133 0.430 0.295
O 0.607 0.621 0.122
O 0.346 0.050 0.217
O 0.139 0.795 0.927
Li 0.748 0.909 0.078
Li 0.251 0.417 0.593
Li 0.000 0.500 0.000
Li 0.748 0.254 0.755
Li 0.749 0.583 0.407
Li 0.252 0.746 0.245
Li 0.252 0.091 0.922
Co 0.497 0.340 0.157
Co 0.500 0.000 0.500
Co 0.503 0.660 0.843
Mn 0.000 0.168 0.329
Mn 0.000 0.832 0.671
CELL_PARAMETERS angstrom
-1.610 2.889 -3.744
-4.914 -3.908 -1.924
-4.786 3.182 3.353
```

Crystal system: triclinic
Electronic total energy, eV/atom: -5.868